# 1
4
Lattice="0.000 3.557 3.557 3.557 0.000 3.557 3.557 3.557 0.000" Properties=species:S:1:pos:R:3 comment="PBE-GGA KCoSb2, relaxed" n_ef_per_ev_cell=1.69 crystal_system=cubic magnetic_moment_mub_per_fu=0.00 sg="Fm-3m (225)" formation_energy_uncorrected_ev_per_atom=0.4511 pbc="T T T"
Sb 5.335 5.335 5.335
Sb 1.778 1.778 1.778
K 0.000 0.000 0.000
Co 3.557 3.557 3.557

---

# 2
12
Lattice="5.095 -0.030 1.698 0.041 7.651 0.014 -0.029 -0.015 8.580" Properties=species:S:1:pos:R:3 comment="PBE-GGA Nd6Cd5Ge, relaxed" n_ef_per_ev_cell=13.16 crystal_system=orthorhombic magnetic_moment_mub_per_fu=0.00 sg="Cmmm (65)" delta_e_f_ev_per_atom=-0.387 pbc="T T T"
Nd 4.288 1.838 4.154
Nd 2.557 1.776 0.852
Nd 4.309 5.752 4.161
Nd 2.579 5.845 0.860
Nd 0.820 5.768 6.138
Nd 0.799 1.853 6.131
Cd 0.021 3.826 0.007
Cd 3.420 3.795 6.793
Cd 3.442 -0.030 6.659
Cd 1.688 3.810 3.498
Cd 1.625 -0.015 3.619
Ge 0.000 0.000 0.000

---

# 3
24
Lattice="-2.388 -2.126 1.869 -2.402 -6.446 -10.404 9.376 -4.456 6.913" Properties=species:S:1:pos:R:3 comment="PBE-GGA Li9Ga4Sn11, relaxed" n_ef_per_ev_cell=5.45 crystal_system=orthorhombic magnetic_moment_mub_per_fu=0.00 sg="Cmmm (65)" delta_e_f_ev_per_atom=-0.205 pbc="T T T"
Ga 2.289 -4.578 1.387
Ga 0.060 -4.954 -1.889
Ga 2.297 -8.450 -3.009
Ga 4.525 -8.074 0.268
Li 5.957 -10.494 -0.655
Li 4.308 -4.843 3.666
Li -1.259 -5.784 -4.519
Li 2.293 -6.514 -0.811
Li 5.844 -7.244 2.897
Li 0.277 -8.185 -5.287
Li 0.647 -2.193 2.002
Li 3.938 -10.835 -3.624
Li -1.372 -2.534 -0.966
Sn 1.863 -5.725 -4.132
Sn 5.192 -8.117 -2.599
Sn 7.414 -7.977 0.400
Sn 1.782 -2.785 -0.892
Sn -0.394 -6.107 -7.451
Sn 3.731 -2.220 2.243
Sn 7.368 -4.795 3.961
Sn 0.000 0.000 0.000
Sn 5.110 -5.177 0.642
Sn -0.440 -2.925 -3.890
Sn 3.243 -8.682 -5.733

---

# 4
4
Lattice="-2.801 3.165 -2.583 -3.716 -3.276 0.017 2.059 1.432 4.272" Properties=species:S:1:pos:R:3 comment="PBE-GGA SrTa2Ag, relaxed" n_ef_per_ev_cell=7.07 crystal_system=cubic magnetic_moment_mub_per_fu=0.01 sg="F-43m (216)" delta_e_f_ev_per_atom=0.856 pbc="T T T"
Ag -3.258 -0.055 -1.283
Ta 0.000 0.000 0.000
Ta -2.458 -0.949 1.503
Sr -2.001 2.271 0.203

---

# 5
10
Lattice="5.998 0.000 0.000 0.000 5.998 0.000 0.000 0.000 3.584" Properties=species:S:1:pos:R:3 comment="PBE-GGA GaCu2Ni2, relaxed" n_ef_per_ev_cell=4.51 crystal_system=tetragonal magnetic_moment_mub_per_fu=0.00 sg="P4/mbm (127)" delta_e_f_ev_per_atom=-0.011 pbc="T T T"
Cu 3.951 5.045 1.792
Cu 2.046 0.952 1.792
Cu 5.045 2.046 1.792
Cu 0.952 3.951 1.792
Ni 0.823 2.176 0.000
Ni 3.821 0.823 0.000
Ni 2.176 5.175 0.000
Ni 5.175 3.821 0.000
Ga 0.000 0.000 0.000
Ga 2.999 2.999 0.000